# PBE-GGA RbInRe2Ag, optimized geometry
# Electronic total energy in eV per atom: -4.18
# ΔE_f in meV per atom: 2113.0
data_RbInRe2Ag
_chemical_formula_sum 'Rb1 In1 Re2 Ag1'
_symmetry_space_group_name_H-M 'P 4/m m m'
_symmetry_Int_Tables_number 123
_symmetry_space_group_name_Hall '-P 4 2'
_cell_length_a 5.223
_cell_length_b 5.223
_cell_length_c 5.387
_cell_angle_alpha 90.00
_cell_angle_beta 90.00
_cell_angle_gamma 90.00
loop_
_atom_site_label
_atom_site_fract_x
_atom_site_fract_y
_atom_site_fract_z
_atom_site_occupancy
Rb1 0.000 0.000 0.000 1
In1 0.500 0.500 0.500 1
Re1 0.000 0.500 0.500 1
Ag1 0.500 0.500 0.000 1

=====

# PBE-GGA BaAcSbAs, optimized geometry
# Electronic total energy in eV per atom: -4.58
# Formation energy from raw total energies in eV per atom: -0.881
data_BaAcSbAs
_chemical_formula_sum 'Ba4 Ac4 Sb4 As4'
_symmetry_space_group_name_H-M 'F -4 3 m'
_symmetry_Int_Tables_number 216
_symmetry_space_group_name_Hall 'F -4 2 3'
_cell_length_a 8.131
_cell_length_b 8.131
_cell_length_c 8.131
_cell_angle_alpha 90.00
_cell_angle_beta 90.00
_cell_angle_gamma 90.00
loop_
_atom_site_label
_atom_site_fract_x
_atom_site_fract_y
_atom_site_fract_z
_atom_site_occupancy
Ba1 0.000 0.000 0.000 1
Ac1 0.000 0.000 0.500 1
Sb1 0.250 0.250 0.750 1
As1 0.250 0.250 0.250 1

=====

# PBE-GGA KInPd, optimized geometry
# Electronic total energy in eV per atom: -3.23
# ΔE_f in meV per atom: -221.3
data_KInPd
_chemical_formula_sum 'K2 In2 Pd2'
_symmetry_space_group_name_H-M 'I 4 m m'
_symmetry_Int_Tables_number 107
_symmetry_space_group_name_Hall 'I 4 -2'
_cell_length_a 3.757
_cell_length_b 3.757
_cell_length_c 12.438
_cell_angle_alpha 90.00
_cell_angle_beta 90.00
_cell_angle_gamma 90.00
loop_
_atom_site_label
_atom_site_fract_x
_atom_site_fract_y
_atom_site_fract_z
_atom_site_occupancy
K1 0.000 0.000 0.000 1
In1 0.000 0.000 0.731 1
Pd1 0.000 0.000 0.267 1

=====

# PBE-GGA Hg3BF6, optimized geometry
# Electronic total energy in eV per atom: -3.40
# Formation energy from raw total energies in eV per atom: -1.516
data_Hg3BF6
_chemical_formula_sum 'Hg6 B2 F12'
_symmetry_space_group_name_H-M 'P 1 21/c 1'
_symmetry_Int_Tables_number 14
_symmetry_space_group_name_Hall '-P 2ybc'
_cell_length_a 5.071
_cell_length_b 7.213
_cell_length_c 9.406
_cell_angle_alpha 90.00
_cell_angle_beta 120.40
_cell_angle_gamma 90.00
loop_
_atom_site_label
_atom_site_fract_x
_atom_site_fract_y
_atom_site_fract_z
_atom_site_occupancy
Hg1 0.000 0.000 0.000 1
Hg2 0.307 0.026 0.825 1
B1 0.500 0.000 0.500 1
F1 0.166 0.134 0.338 1
F2 0.302 0.629 0.003 1
F3 0.479 0.142 0.665 1

=====

# PBE-GGA ErTaO4, optimized geometry
# Electronic total energy in eV per atom: -9.32
# Formation energy from raw total energies in eV per atom: -3.280
data_ErTaO4
_chemical_formula_sum 'Er2 Ta2 O8'
_symmetry_space_group_name_H-M 'P 1 2/c 1'
_symmetry_Int_Tables_number 13
_symmetry_space_group_name_Hall '-P 2yc'
_cell_length_a 5.121
_cell_length_b 5.492
_cell_length_c 5.306
_cell_angle_alpha 90.00
_cell_angle_beta 96.32
_cell_angle_gamma 90.00
loop_
_atom_site_label
_atom_site_fract_x
_atom_site_fract_y
_atom_site_fract_z
_atom_site_occupancy
Er1 0.000 0.232 0.250 1
Ta1 0.500 0.305 0.750 1
O1 0.248 0.084 0.598 1
O2 0.267 0.435 0.997 1

=====

# PBE-GGA Dy3InBi, optimized geometry
# Electronic total energy in eV per atom: -4.46
# ΔE_f in meV per atom: -379.8
data_Dy3InBi
_chemical_formula_sum 'Dy24 In8 Bi8'
_symmetry_space_group_name_H-M 'C 1 2/c 1'
_symmetry_Int_Tables_number 15
_symmetry_space_group_name_Hall '-C 2yc'
_cell_length_a 14.973
_cell_length_b 10.088
_cell_length_c 10.261
_cell_angle_alpha 90.00
_cell_angle_beta 129.01
_cell_angle_gamma 90.00
loop_
_atom_site_label
_atom_site_fract_x
_atom_site_fract_y
_atom_site_fract_z
_atom_site_occupancy
Dy1 0.106 0.204 0.041 1
Dy2 0.127 0.412 0.602 1
Dy3 0.226 0.106 0.542 1
In1 0.000 0.268 0.250 1
In2 0.000 0.432 0.750 1
Bi1 0.153 0.112 0.768 1

=====

# PBE-GGA SiIr2Au, optimized geometry
# Electronic total energy in eV per atom: -6.49
# Formation energy from raw total energies in eV per atom: 0.115
data_SiIr2Au
_chemical_formula_sum 'Si2 Ir4 Au2'
_symmetry_space_group_name_H-M 'C m m m'
_symmetry_Int_Tables_number 65
_symmetry_space_group_name_Hall '-C 2 2'
_cell_length_a 5.696
_cell_length_b 7.194
_cell_length_c 2.905
_cell_angle_alpha 90.00
_cell_angle_beta 90.00
_cell_angle_gamma 90.00
loop_
_atom_site_label
_atom_site_fract_x
_atom_site_fract_y
_atom_site_fract_z
_atom_site_occupancy
Si1 0.000 0.000 0.000 1
Ir1 0.250 0.250 0.500 1
Au1 0.000 0.500 0.000 1

=====

# PBE-GGA SrTcW2, optimized geometry
# Electronic total energy in eV per atom: -8.70
# Polymorph energy (0 for the lowest one) in meV per atom: 112
# ΔE_f in meV per atom: 791.2
data_SrTcW2
_chemical_formula_sum 'Sr1 Tc1 W2'
_symmetry_space_group_name_H-M 'P m m m'
_symmetry_Int_Tables_number 47
_symmetry_space_group_name_Hall '-P 2 2'
_cell_length_a 3.052
_cell_length_b 3.729
_cell_length_c 7.603
_cell_angle_alpha 90.00
_cell_angle_beta 90.00
_cell_angle_gamma 90.00
loop_
_atom_site_label
_atom_site_fract_x
_atom_site_fract_y
_atom_site_fract_z
_atom_site_occupancy
Sr1 0.000 0.000 0.000 1
Tc1 0.000 0.000 0.500 1
W1 0.500 0.500 0.340 1